No. 1
Below is crystalline DyAg at its relaxed geometry, with properties calculated at the PBE level.

Cell lengths 3.623, 3.623, 3.623 Å; angles 90.00, 90.00, 90.00 degrees
Sites, in units of the cell vectors:
1 Dy 0.000 0.000 0.000
2 Ag 0.500 0.500 0.500

Computed properties:
Final energy = -4.05 eV/atom

***

No. 2
Below is crystalline LaNdAsO at its relaxed geometry, with properties calculated at the PBE level.

Cell lengths 4.305, 8.202, 6.009 Å; angles 90.00, 90.00, 90.00 degrees
Sites, in units of the cell vectors:
1 La 0.000 0.112 0.000
2 La 0.000 0.888 0.500
3 Nd 0.500 0.303 0.443
4 Nd 0.500 0.697 0.943
5 As 0.500 0.344 0.940
6 As 0.500 0.656 0.440
7 O 0.000 0.176 0.390
8 O 0.000 0.824 0.890

Computed properties:
Final energy = -6.76 eV/atom
Polymorph energy (0 for the lowest one) = 0.026 eV/atom

***

No. 3
Below is crystalline KRbDy at its relaxed geometry, with properties calculated at the PBE level.

Cell lengths 6.623, 6.623, 6.623 Å; angles 60.00, 60.00, 60.00 degrees
Sites, in units of the cell vectors:
1 K 0.000 0.000 0.000
2 Rb 0.250 0.250 0.250
3 Dy 0.750 0.750 0.750

Computed properties:
Final energy = -1.20 eV/atom

***

No. 4
Below is crystalline RbTaAu at its relaxed geometry, with properties calculated at the PBE level.

Cell lengths 5.061, 5.061, 5.061 Å; angles 60.00, 60.00, 60.00 degrees
Sites, in units of the cell vectors:
1 Rb 0.000 0.000 0.000
2 Ta 0.500 0.500 0.500
3 Au 0.250 0.250 0.250

Computed properties:
Final energy = -3.77 eV/atom
Polymorph energy (0 for the lowest one) = 0.000 eV/atom

***

No. 5
Below is crystalline KPdO3 at its relaxed geometry, with properties calculated at the PBE level.

Cell lengths 5.907, 9.127, 6.447 Å; angles 90.00, 90.00, 90.00 degrees
Sites, in units of the cell vectors:
1 K 0.000 0.000 0.000
2 K 0.000 0.500 0.000
3 K 0.500 0.000 0.500
4 K 0.500 0.500 0.500
5 Pd 0.058 0.250 0.415
6 Pd 0.442 0.750 0.915
7 Pd 0.558 0.250 0.085
8 Pd 0.942 0.750 0.585
9 O 0.032 0.557 0.431
10 O 0.032 0.943 0.431
11 O 0.123 0.750 0.842
12 O 0.377 0.250 0.342
13 O 0.468 0.057 0.931
14 O 0.468 0.443 0.931
15 O 0.532 0.557 0.069
16 O 0.532 0.943 0.069
17 O 0.623 0.750 0.658
18 O 0.877 0.250 0.158
19 O 0.968 0.057 0.569
20 O 0.968 0.443 0.569

Computed properties:
Final energy = -4.68 eV/atom

***

No. 6
Below is crystalline NdTlSeO at its relaxed geometry, with properties calculated at the PBE level.

Cell lengths 5.600, 5.594, 12.207 Å; angles 90.00, 93.45, 90.00 degrees
Sites, in units of the cell vectors:
1 Nd 0.013 0.000 0.100
2 Nd 0.487 0.000 0.900
3 Nd 0.513 0.500 0.100
4 Nd 0.987 0.500 0.900
5 Tl 0.006 0.529 0.606
6 Tl 0.494 0.533 0.394
7 Tl 0.506 0.033 0.606
8 Tl 0.994 0.029 0.394
9 Se 0.014 0.504 0.255
10 Se 0.485 0.505 0.745
11 Se 0.515 0.005 0.255
12 Se 0.986 0.004 0.745
13 O 0.250 0.250 0.000
14 O 0.250 0.750 0.000
15 O 0.750 0.250 0.000
16 O 0.750 0.750 0.000

Computed properties:
Final energy = -5.86 eV/atom
Polymorph energy (0 for the lowest one) = 0.000 eV/atom

***

No. 7
Below is crystalline Nd2ErSi4Au4 at its relaxed geometry, with properties calculated at the PBE level.

Cell lengths 12.897, 12.897, 12.897 Å; angles 161.23, 160.87, 26.92 degrees
Sites, in units of the cell vectors:
1 Nd 0.147 0.147 0.000
2 Nd 0.853 0.853 0.000
3 Er 0.500 0.000 0.500
4 Si 0.047 0.547 0.500
5 Si 0.310 0.310 0.000
6 Si 0.690 0.690 0.000
7 Si 0.953 0.453 0.500
8 Au 0.249 0.749 0.500
9 Au 0.407 0.407 0.000
10 Au 0.593 0.593 0.000
11 Au 0.751 0.251 0.500

Computed properties:
Final energy = -5.17 eV/atom

***

No. 8
Below is crystalline TbGaPdPt at its relaxed geometry, with properties calculated at the PBE level.

Cell lengths 4.399, 4.399, 9.113 Å; angles 90.00, 90.00, 120.00 degrees
Sites, in units of the cell vectors:
1 Tb 0.333 0.667 0.000
2 Tb 0.667 0.333 0.500
3 Ga 0.000 0.000 0.242
4 Ga 0.000 0.000 0.742
5 Pd 0.333 0.667 0.332
6 Pd 0.667 0.333 0.832
7 Pt 0.333 0.667 0.667
8 Pt 0.667 0.333 0.167

Computed properties:
Final energy = -5.72 eV/atom
Polymorph energy (0 for the lowest one) = 0.000 eV/atom

***

No. 9
Below is crystalline Hf4SiAuN2 at its relaxed geometry, with properties calculated at the PBE level.

Cell lengths 3.231, 3.231, 13.624 Å; angles 90.00, 90.00, 120.00 degrees
Sites, in units of the cell vectors:
1 Hf 0.000 0.000 0.150
2 Hf 0.000 0.000 0.850
3 Hf 0.667 0.333 0.335
4 Hf 0.667 0.333 0.665
5 Si 0.667 0.333 0.000
6 Au 0.000 0.000 0.500
7 N 0.333 0.667 0.245
8 N 0.333 0.667 0.755

Computed properties:
Final energy = -9.27 eV/atom

***

No. 10
Below is crystalline ErP at its relaxed geometry, with properties calculated at the PBE level.

Cell lengths 3.968, 3.968, 3.968 Å; angles 60.00, 60.00, 60.00 degrees
Sites, in units of the cell vectors:
1 Er 0.000 0.000 0.000
2 P 0.500 0.500 0.500

Computed properties:
Final energy = -6.60 eV/atom

***

No. 11
Below is crystalline LiZrAgS3 at its relaxed geometry, with properties calculated at the PBE level.

Cell lengths 7.735, 3.693, 8.695 Å; angles 90.00, 100.27, 90.00 degrees
Sites, in units of the cell vectors:
1 Li 0.132 0.250 0.131
2 Li 0.868 0.750 0.869
3 Zr 0.179 0.750 0.655
4 Zr 0.821 0.250 0.345
5 Ag 0.466 0.250 0.879
6 Ag 0.534 0.750 0.121
7 S 0.066 0.750 0.344
8 S 0.220 0.750 0.958
9 S 0.379 0.250 0.597
10 S 0.621 0.750 0.403
11 S 0.780 0.250 0.042
12 S 0.934 0.250 0.656

Computed properties:
Final energy = -5.36 eV/atom
Polymorph energy (0 for the lowest one) = 0.001 eV/atom

***

No. 12
Below is crystalline NbBr3O at its relaxed geometry, with properties calculated at the PBE level.

Cell lengths 11.772, 11.772, 3.954 Å; angles 90.00, 90.00, 90.00 degrees
Sites, in units of the cell vectors:
1 Nb 0.126 0.374 0.300
2 Nb 0.374 0.874 0.700
3 Nb 0.626 0.126 0.700
4 Nb 0.874 0.626 0.300
5 Br 0.104 0.167 0.247
6 Br 0.104 0.604 0.239
7 Br 0.167 0.896 0.753
8 Br 0.333 0.396 0.247
9 Br 0.396 0.104 0.761
10 Br 0.396 0.667 0.753
11 Br 0.604 0.333 0.753
12 Br 0.604 0.896 0.761
13 Br 0.667 0.604 0.247
14 Br 0.833 0.104 0.753
15 Br 0.896 0.396 0.239
16 Br 0.896 0.833 0.247
17 O 0.118 0.382 0.757
18 O 0.382 0.882 0.243
19 O 0.618 0.118 0.243
20 O 0.882 0.618 0.757

Computed properties:
Final energy = -5.35 eV/atom